Computed, not measured: a geometry-optimized CaEuPtAu structure at the PBE-GGA level of DFT.

Cell lengths 5.114, 5.114, 5.114 Å; angles 60.00, 60.00, 60.00 degrees
Positions (direct):
1 Ca 0.000 0.000 0.000
2 Eu 0.500 0.500 0.500
3 Pt 0.250 0.250 0.250
4 Au 0.750 0.750 0.750

Summary:
The space-group type is F-43m (216). For the energy of formation from the pure elements, the calculation gives -323 kJ/mol of formula units.

=====

Computed, not measured: a geometry-optimized Pm7SmHo12 structure at the PBE-GGA level of DFT.

Cell lengths 8.770, 8.770, 8.770 Å; angles 86.06, 86.06, 86.06 degrees
Positions (direct):
1 Pm 0.000 0.000 0.000
2 Pm 0.102 0.344 0.425
3 Pm 0.344 0.425 0.102
4 Pm 0.425 0.102 0.344
5 Pm 0.575 0.898 0.656
6 Pm 0.656 0.575 0.898
7 Pm 0.898 0.656 0.575
8 Sm 0.500 0.500 0.500
9 Ho 0.004 0.367 0.881
10 Ho 0.119 0.996 0.633
11 Ho 0.226 0.757 0.353
12 Ho 0.243 0.647 0.774
13 Ho 0.353 0.226 0.757
14 Ho 0.367 0.881 0.004
15 Ho 0.633 0.119 0.996
16 Ho 0.647 0.774 0.243
17 Ho 0.757 0.353 0.226
18 Ho 0.774 0.243 0.647
19 Ho 0.881 0.004 0.367
20 Ho 0.996 0.633 0.119

Summary:
The space-group type is R-3 (148). For the energy of formation from the pure elements, the calculation gives 451 kJ/mol of formula units. The energy above the most stable polymorph in this dataset is 0.000 eV/atom.

=====

Computed, not measured: a geometry-optimized PuMo2W structure at the PBE-GGA level of DFT.

Cell lengths 3.217, 3.217, 6.759 Å; angles 90.00, 90.00, 90.00 degrees
Positions (direct):
1 Pu 0.000 0.000 0.000
2 Mo 0.500 0.500 0.268
3 Mo 0.500 0.500 0.732
4 W 0.000 0.000 0.500

Summary:
The space-group type is P4/mmm (123). For the energy of formation from the pure elements, the calculation gives 91 kJ/mol of formula units.

=====

Computed, not measured: a geometry-optimized AlCr structure at the PBE-GGA level of DFT.

Cell lengths 2.999, 2.999, 5.842 Å; angles 90.00, 90.00, 90.00 degrees
Positions (direct):
1 Al 0.250 0.250 0.145
2 Al 0.750 0.750 0.855
3 Cr 0.250 0.250 0.604
4 Cr 0.750 0.750 0.396

Summary:
The space-group type is P4/nmm (129). For the energy of formation from the pure elements, the calculation gives -28 kJ/mol of formula units.

=====

Computed, not measured: a geometry-optimized MnAlPt5 structure at the PBE-GGA level of DFT.

Cell lengths 3.929, 3.929, 7.190 Å; angles 90.00, 90.00, 90.00 degrees
Positions (direct):
1 Mn 0.000 0.000 0.000
2 Al 0.500 0.500 0.500
3 Pt 0.000 0.500 0.278
4 Pt 0.000 0.500 0.722
5 Pt 0.500 0.000 0.278
6 Pt 0.500 0.000 0.722
7 Pt 0.500 0.500 0.000

Summary:
The space-group type is P4/mmm (123). For the energy of formation from the pure elements, the calculation gives -323 kJ/mol of formula units. The energy above the most stable polymorph in this dataset is 0.000 eV/atom.

=====

Computed, not measured: a geometry-optimized Cd2InPb6 structure at the PBE-GGA level of DFT.

Cell lengths 3.575, 3.575, 24.317 Å; angles 90.00, 90.00, 120.00 degrees
Positions (direct):
1 Cd 0.000 0.000 0.169
2 Cd 0.000 0.000 0.831
3 In 0.667 0.333 0.500
4 Pb 0.000 0.000 0.388
5 Pb 0.000 0.000 0.612
6 Pb 0.667 0.333 0.067
7 Pb 0.667 0.333 0.271
8 Pb 0.667 0.333 0.729
9 Pb 0.667 0.333 0.933

Summary:
The space-group type is P-6m2 (187). For the energy of formation from the pure elements, the calculation gives 57 kJ/mol of formula units. The energy above the most stable polymorph in this dataset is 0.036 eV/atom.

=====

Computed, not measured: a geometry-optimized Co2NiPt2 structure at the PBE-GGA level of DFT.

Cell lengths 6.958, 6.958, 5.251 Å; angles 90.00, 90.00, 148.34 degrees
Positions (direct):
1 Co 0.110 0.890 0.500
2 Co 0.316 0.684 0.761
3 Co 0.684 0.316 0.261
4 Co 0.890 0.110 0.000
5 Ni 0.100 0.900 0.016
6 Ni 0.900 0.100 0.516
7 Pt 0.298 0.702 0.270
8 Pt 0.500 0.500 0.260
9 Pt 0.500 0.500 0.760
10 Pt 0.702 0.298 0.770

Summary:
The space-group type is Cmc2_1 (36). For the energy of formation from the pure elements, the calculation gives 10 kJ/mol of formula units. The energy above the most stable polymorph in this dataset is 0.000 eV/atom.

=====

Computed, not measured: a geometry-optimized LiMgTlRu structure at the PBE-GGA level of DFT.

Cell lengths 4.599, 4.599, 4.599 Å; angles 60.00, 60.00, 60.00 degrees
Positions (direct):
1 Li 0.000 0.000 0.000
2 Mg 0.750 0.750 0.750
3 Tl 0.250 0.250 0.250
4 Ru 0.500 0.500 0.500

Summary:
The space-group type is F-43m (216). For the energy of formation from the pure elements, the calculation gives 7 kJ/mol of formula units.

=====

Computed, not measured: a geometry-optimized KSi2P structure at the PBE-GGA level of DFT.

Cell lengths 6.062, 6.062, 2.567 Å; angles 90.00, 90.00, 122.71 degrees
Positions (direct):
1 K 0.000 0.000 0.000
2 Si 0.000 0.500 0.500
3 Si 0.500 0.000 0.500
4 P 0.500 0.500 0.000

Summary:
The space-group type is Cmmm (65). The energy relative to the elements, uncorrected is 0.703 eV/atom. The energy above the most stable polymorph in this dataset is 0.605 eV/atom.

=====

Computed, not measured: a geometry-optimized TlTe2Cl structure at the PBE-GGA level of DFT.

Cell lengths 5.933, 5.933, 3.310 Å; angles 90.00, 90.00, 90.00 degrees
Positions (direct):
1 Tl 0.000 0.000 0.000
2 Te 0.000 0.500 0.500
3 Te 0.500 0.000 0.500
4 Cl 0.500 0.500 0.000

Summary:
The space-group type is P4/mmm (123). The energy relative to the elements, uncorrected is 0.159 eV/atom. The energy above the most stable polymorph in this dataset is 0.561 eV/atom.

=====

Computed, not measured: a geometry-optimized SiTc2SnTe structure at the PBE-GGA level of DFT.

Cell lengths 4.647, 4.647, 5.204 Å; angles 90.00, 90.00, 90.00 degrees
Positions (direct):
1 Si 0.000 0.000 0.000
2 Tc 0.000 0.500 0.000
3 Tc 0.500 0.000 0.000
4 Sn 0.500 0.500 0.500
5 Te 0.000 0.000 0.500

Summary:
The space-group type is P4/mmm (123). The energy relative to the elements, uncorrected is 1.021 eV/atom.